Record 1
DFT (PBE) results for crystalline Pm2MnCu2Ni5 at its relaxed geometry.

```
Pm2MnCu2Ni5
1.0
3.695 0.000 0.000
0.000 9.080 0.000
0.000 0.000 9.080
Pm Mn Cu Ni
4 2 4 10
Cartesian
0.000 6.196 1.656
0.000 2.884 7.424
0.000 1.656 2.884
0.000 7.424 6.196
0.000 0.000 0.000
0.000 4.540 4.540
0.000 1.047 5.587
0.000 8.034 3.494
0.000 5.587 8.034
0.000 3.494 1.047
1.847 1.846 0.505
1.847 7.235 8.575
1.847 0.505 7.235
1.847 6.386 4.035
1.847 8.575 1.846
1.847 2.695 5.045
1.847 5.045 6.386
1.847 4.035 2.695
1.847 4.540 0.000
1.847 0.000 4.540
```

## Properties
- Volume: 15.23 Å³ per atom
- Magnetization: 4.23 μB/f.u.
- Mass density: 8.35 g/cm3
- N(E_F): 6.09 states/eV/f.u.
- Energy relative to the elements: -0.12 eV/atom

---

Record 2
DFT (PBE) results for crystalline Ba2In2Hg at its relaxed geometry.

```
Ba2In2Hg
1.0
-2.102 -6.104 -2.250
6.026 -0.936 -3.091
3.574 -5.449 1.055
In Hg Ba
2 1 2
Cartesian
2.459 -4.115 -1.521
5.038 -8.373 -2.765
0.000 0.000 0.000
1.717 -7.536 -1.933
5.781 -4.952 -2.353
```

## Properties
- Volume: 42.02 Å³ per atom
- Magnetization: 0.00 μB/f.u.
- Mass density: 5.57 g/cm3
- N(E_F): 4.10 states/eV/f.u.
- Energy relative to the elements: -0.18 eV/atom
- E above lowest polymorph: 1.24 eV/f.u.